{
  "formula": "PmBiO",
  "functional": "PBE",
  "state": "relaxed",
  "volume_a3_per_atom": 26.04,
  "relative_energy_mev_per_atom": 151,
  "e_tot_ev_per_cell": -19.201,
  "e_form_raw_kj_per_mol_fu": -541,
  "lattice_angstrom": [[-0.588, 5.958, -1.553], [-3.523, 0.036, 1.473], [2.999, 0.869, 2.200]],
  "species": ["Bi", "Pm", "O"],
  "frac_coords": [[0.667, 0.667, 0.333], [0.166, 0.000, 0.000], [0.167, 0.333, 0.667]]
}